*one*
Entry from Alexandria via LeMat-Bulk: a relaxed structure of ZrAs2PbSe (PBE-GGA).

Calculated values
**DOS(E_F)**: 1.126 states/eV per atom
**Magnetization**: 0.0 μB/f.u.

Structure (extended XYZ):
```
5
Lattice="-4.639 -2.539 -1.802 2.778 -1.912 -4.455 1.381 -4.508 2.796" Properties=species:S:1:pos:R:3 pbc="T T T"
Se 0.691 -2.254 1.398
Zr 0.000 0.000 0.000
As -2.320 -1.270 -0.901
As 1.389 -0.956 -2.228
Pb -0.240 -4.480 -1.731
```

*two*
Entry from Alexandria via LeMat-Bulk: a relaxed structure of ZrAs2PbSe (PBE-GGA).

Calculated values
**DOS(E_F)**: 0.884 states/eV per atom
**Magnetization**: 0.0 μB/f.u.

Structure (extended XYZ):
```
5
Lattice="-3.957 2.942 -1.861 -1.635 -4.058 -2.940 -3.139 -1.665 4.044" Properties=species:S:1:pos:R:3 pbc="T T T"
As -0.818 -2.029 -1.470
As -1.979 1.471 -0.930
Se -1.570 -0.832 2.022
Pb 0.000 0.000 0.000
Zr -4.366 -1.390 -0.378
```

Least stable: *two*

*one*
Entry from Alexandria via LeMat-Bulk: a relaxed structure of Si2AsPb (PBE-GGA).

Calculated values
**DOS(E_F)**: 0.495 states/eV per atom
**Magnetization**: 0.0 μB/f.u.

Structure (extended XYZ):
```
4
Lattice="5.564 -0.035 -0.006 1.873 5.239 0.006 -2.971 -3.671 2.943" Properties=species:S:1:pos:R:3 pbc="T T T"
Pb 1.310 2.086 1.474
Si 7.122 4.984 0.000
Si 4.033 2.823 0.000
As 3.156 -0.552 1.469
```

*two*
Entry from Alexandria via LeMat-Bulk: a relaxed structure of Si2AsPb (PBE-GGA).

Calculated values
**DOS(E_F)**: 0.359 states/eV per atom
**Magnetization**: 0.0 μB/f.u.

Structure (extended XYZ):
```
4
Lattice="5.987 -0.164 0.194 -2.799 5.295 0.194 0.672 1.082 2.784" Properties=species:S:1:pos:R:3 pbc="T T T"
As 3.330 0.459 1.489
Pb -1.063 3.189 1.489
Si 1.594 2.566 0.194
Si 0.000 0.000 0.000
```

Least stable: *two*

*one*
Entry from Alexandria via LeMat-Bulk: a relaxed structure of Si2AsPb (PBE-GGA).

Calculated values
**DOS(E_F)**: 0.470 states/eV per atom
**Magnetization**: 0.0 μB/f.u.

Structure (extended XYZ):
```
4
Lattice="7.618 -0.122 -0.073 6.785 3.465 -0.073 6.785 1.575 3.087" Properties=species:S:1:pos:R:3 pbc="T T T"
Pb 15.798 3.667 2.193
As 11.070 2.569 1.537
Si 5.340 1.240 0.741
Si 20.761 4.819 2.882
```

*two*
Entry from Alexandria via LeMat-Bulk: a relaxed structure of Si2AsPb (PBE-GGA).

Calculated values
**DOS(E_F)**: 0.366 states/eV per atom
**Magnetization**: 0.0 μB/f.u.

Structure (extended XYZ):
```
4
Lattice="-1.713 4.546 -0.412 -3.716 -1.414 -0.148 -0.561 0.213 4.686" Properties=species:S:1:pos:R:3 pbc="T T T"
Si -2.036 -0.606 1.776
Si -0.102 0.006 0.493
Pb -4.064 1.373 3.198
As -1.926 1.973 0.929
```

Least stable: *two*

*one*
Entry from Alexandria via LeMat-Bulk: a relaxed structure of SiAsPb (PBE-GGA).

Calculated values
**DOS(E_F)**: 0.681 states/eV per atom
**Magnetization**: 0.0 μB/f.u.

Structure (extended XYZ):
```
3
Lattice="-2.621 3.380 -2.021 -4.362 -0.993 -1.539 -3.764 1.748 2.270" Properties=species:S:1:pos:R:3 pbc="T T T"
Pb -5.373 2.068 -0.645
As 0.000 0.000 0.000
Si -2.687 1.034 -0.322
```

*two*
Entry from Alexandria via LeMat-Bulk: a relaxed structure of SiAsPb (PBE-GGA).

Calculated values
**DOS(E_F)**: 0.272 states/eV per atom
**Magnetization**: 0.0 μB/f.u.

Structure (extended XYZ):
```
3
Lattice="-2.176 2.015 5.432 0.492 -2.082 5.807 2.866 1.381 -5.308" Properties=species:S:1:pos:R:3 pbc="T T T"
As -0.084 -0.003 0.563
Si -1.065 -0.042 7.111
Pb -0.534 -0.021 3.565
```

Least stable: *one*